No. 1
Here is Au3C after structural relaxation from Alexandria via LeMat-Bulk. Energies are from PBE.

a b c (Å): 2.9424 3.1676 6.9845
angles (deg): 90.00 90.00 90.00
Fractional positions:
Au  0.0000  0.0000  0.0000
Au  0.5000  0.5000  0.2872
Au  0.5000  0.5000  0.7128
C  0.5000  0.0000  0.5000

Symmetry: Pmmm (47)
DFT formation energy in eV per atom: 1.073
Energy above the lowest structure with this stoichiometry in meV/atom: 513

---

No. 2
Here is Sm3Zn2C after structural relaxation from Alexandria via LeMat-Bulk. Energies are from PBE.

a b c (Å): 7.0712 7.0712 6.6395
angles (deg): 90.00 90.00 120.00
Fractional positions:
Sm  0.1558  0.3117  0.2500
Sm  0.1558  0.8442  0.2500
Sm  0.3117  0.1558  0.7500
Sm  0.6883  0.8442  0.2500
Sm  0.8442  0.1558  0.7500
Sm  0.8442  0.6883  0.7500
Zn  0.3333  0.6667  0.5741
Zn  0.3333  0.6667  0.9259
Zn  0.6667  0.3333  0.0741
Zn  0.6667  0.3333  0.4259
C  0.0000  0.0000  0.0000
C  0.0000  0.0000  0.5000

Symmetry: P6_3/mmc (194)
DFT formation energy in eV per atom: -0.171

---

No. 3
Here is CuHg6S8 after structural relaxation from Alexandria via LeMat-Bulk. Energies are from PBE.

a b c (Å): 7.6076 7.6076 7.6076
angles (deg): 98.12 98.12 98.12
Fractional positions:
Cu  0.0000  0.0000  0.0000
Hg  0.1516  0.3278  0.5527
Hg  0.3278  0.5527  0.1516
Hg  0.4473  0.8484  0.6722
Hg  0.5527  0.1516  0.3278
Hg  0.6722  0.4473  0.8484
Hg  0.8484  0.6722  0.4473
S  0.1685  0.6356  0.4119
S  0.1897  0.1897  0.1897
S  0.3644  0.5881  0.8315
S  0.4119  0.1685  0.6356
S  0.5881  0.8315  0.3644
S  0.6356  0.4119  0.1685
S  0.8103  0.8103  0.8103
S  0.8315  0.3644  0.5881

ΔE_f (raw) in meV/atom: 182
Symmetry: R-3 (148)

---

No. 4
Here is Sr5Bi2PBr after structural relaxation from Alexandria via LeMat-Bulk. Energies are from PBE.

a b c (Å): 10.0689 10.0689 14.4995
angles (deg): 90.00 90.00 152.69
Fractional positions:
Sr  0.0049  0.9951  0.5000
Sr  0.1381  0.8619  0.7298
Sr  0.1941  0.8059  0.1057
Sr  0.2263  0.7737  0.3846
Sr  0.4294  0.5706  0.8094
Sr  0.5706  0.4294  0.3094
Sr  0.7737  0.2263  0.8846
Sr  0.8059  0.1941  0.6057
Sr  0.8619  0.1381  0.2298
Sr  0.9951  0.0049  0.0000
Bi  0.3650  0.6350  0.0286
Bi  0.3983  0.6017  0.4119
Bi  0.6017  0.3983  0.9119
Bi  0.6350  0.3650  0.5286
P  0.2899  0.7101  0.7395
P  0.7101  0.2899  0.2395
Br  0.0300  0.9700  0.1987
Br  0.9700  0.0300  0.6987

ΔE_f (raw) in meV/atom: -1106
Symmetry: Cmc2_1 (36)

---

No. 5
Here is KMn3I after structural relaxation from Alexandria via LeMat-Bulk. Energies are from PBE.

a b c (Å): 5.1239 5.1239 5.1239
angles (deg): 90.00 90.00 90.00
Fractional positions:
K  0.0000  0.0000  0.0000
Mn  0.0000  0.5000  0.5000
Mn  0.5000  0.0000  0.5000
Mn  0.5000  0.5000  0.0000
I  0.5000  0.5000  0.5000

ΔE_f (raw) in meV/atom: 1281
Symmetry: Pm-3m (221)
Energy above the lowest structure with this stoichiometry in meV/atom: 0

---

No. 6
Here is GaSbPb2N after structural relaxation from Alexandria via LeMat-Bulk. Energies are from PBE.

a b c (Å): 6.0535 6.0535 3.9794
angles (deg): 90.00 90.00 90.00
Fractional positions:
Ga  0.0000  0.0000  0.0000
Sb  0.5000  0.5000  0.5000
Pb  0.0000  0.5000  0.5000
Pb  0.5000  0.0000  0.5000
N  0.5000  0.5000  0.0000

ΔE_f (raw) in meV/atom: 840
Symmetry: P4/mmm (123)

---

No. 7
Here is AcPmGePt after structural relaxation from Alexandria via LeMat-Bulk. Energies are from PBE.

a b c (Å): 5.2997 5.2997 5.2997
angles (deg): 60.00 60.00 60.00
Fractional positions:
Ac  0.0000  0.0000  0.0000
Pm  0.5000  0.5000  0.5000
Ge  0.7500  0.7500  0.7500
Pt  0.2500  0.2500  0.2500

Symmetry: F-43m (216)
DFT formation energy in eV per atom: -0.787
Energy above the lowest structure with this stoichiometry in meV/atom: 0

---

No. 8
Here is Pr2TmMn after structural relaxation from Alexandria via LeMat-Bulk. Energies are from PBE.

a b c (Å): 11.9808 11.9808 11.9808
angles (deg): 16.54 16.54 16.54
Fractional positions:
Pr  0.0829  0.0829  0.0829
Pr  0.9171  0.9171  0.9171
Tm  0.5000  0.5000  0.5000
Mn  0.0000  0.0000  0.0000

Symmetry: R-3m (166)
DFT formation energy in eV per atom: 0.544

---

No. 9
Here is KPuAlO5 after structural relaxation from Alexandria via LeMat-Bulk. Energies are from PBE.

a b c (Å): 5.9985 5.9985 7.9596
angles (deg): 105.81 105.81 104.75
Fractional positions:
K  0.1668  0.8332  0.7500
K  0.8332  0.1668  0.2500
Pu  0.5000  0.5000  0.0000
Pu  0.5000  0.5000  0.5000
Al  0.1909  0.8091  0.2500
Al  0.8091  0.1909  0.7500
O  0.1289  0.2756  0.8916
O  0.2153  0.6153  0.3861
O  0.2756  0.1289  0.3916
O  0.3847  0.7847  0.1139
O  0.4382  0.5618  0.7500
O  0.5618  0.4382  0.2500
O  0.6153  0.2153  0.8861
O  0.7244  0.8711  0.6084
O  0.7847  0.3847  0.6139
O  0.8711  0.7244  0.1084

ΔE_f (raw) in meV/atom: -2527
Symmetry: C2/c (15)

---

No. 10
Here is SrZnSbI after structural relaxation from Alexandria via LeMat-Bulk. Energies are from PBE.

a b c (Å): 16.0090 16.0090 16.0090
angles (deg): 16.57 16.57 16.57
Fractional positions:
Sr  0.0816  0.0816  0.0816
Sr  0.9184  0.9184  0.9184
Zn  0.3113  0.3113  0.3113
Zn  0.6887  0.6887  0.6887
Sb  0.3707  0.3707  0.3707
Sb  0.6293  0.6293  0.6293
I  0.2115  0.2115  0.2115
I  0.7885  0.7885  0.7885

ΔE_f (raw) in meV/atom: -930
Symmetry: R-3m (166)

---

No. 11
Here is Na6MgBr8 after structural relaxation from Alexandria via LeMat-Bulk. Energies are from PBE.

a b c (Å): 8.4764 8.4764 8.4764
angles (deg): 60.00 60.00 60.00
Fractional positions:
Na  0.0000  0.0000  0.5000
Na  0.0000  0.5000  0.0000
Na  0.0000  0.5000  0.5000
Na  0.5000  0.0000  0.0000
Na  0.5000  0.0000  0.5000
Na  0.5000  0.5000  0.0000
Mg  0.0000  0.0000  0.0000
Br  0.2280  0.2280  0.7720
Br  0.2280  0.7720  0.2280
Br  0.2280  0.7720  0.7720
Br  0.2500  0.2500  0.2500
Br  0.7500  0.7500  0.7500
Br  0.7720  0.2280  0.2280
Br  0.7720  0.2280  0.7720
Br  0.7720  0.7720  0.2280

ΔE_f (raw) in meV/atom: -1548
Symmetry: Fm-3m (225)

---

No. 12
Here is Nd2Cu12Ni3Ag after structural relaxation from Alexandria via LeMat-Bulk. Energies are from PBE.

a b c (Å): 6.4586 6.4586 6.4586
angles (deg): 83.89 83.89 83.89
Fractional positions:
Nd  0.2485  0.2485  0.2485
Nd  0.7515  0.7515  0.7515
Cu  0.0763  0.0763  0.6515
Cu  0.0763  0.6515  0.0763
Cu  0.2118  0.7025  0.7025
Cu  0.2975  0.2975  0.7882
Cu  0.2975  0.7882  0.2975
Cu  0.3485  0.9237  0.9237
Cu  0.6515  0.0763  0.0763
Cu  0.7025  0.2118  0.7025
Cu  0.7025  0.7025  0.2118
Cu  0.7882  0.2975  0.2975
Cu  0.9237  0.3485  0.9237
Cu  0.9237  0.9237  0.3485
Ni  0.0000  0.5000  0.5000
Ni  0.5000  0.0000  0.5000
Ni  0.5000  0.5000  0.0000
Ag  0.5000  0.5000  0.5000

Symmetry: R-3m (166)
DFT formation energy in eV per atom: 0.101

---

| no. | calculated total energy (hartree per atom) |
| --- | --- |
| 1 | -0.13565 |
| 2 | -0.16511 |
| 3 | -0.08867 |
| 4 | -0.13561 |
| 5 | -0.17457 |
| 6 | -0.13737 |
| 7 | -0.20825 |
| 8 | -0.19316 |
| 9 | -0.29481 |
| 10 | -0.11344 |
| 11 | -0.11297 |
| 12 | -0.15735 |